# 1
## KAg (GGA-PBE)

Data for a geometry-optimized KAg structure.

Properties
Energy relative to the elements ... 111 meV per atom
Distance to the lowest polymorph of the same formula ... 97 meV/atom
N(E_F) ... 3.18 states/eV/cell

Geometry as CIF:
```
data_KAg
_cell_length_a 5.6314
_cell_length_b 5.6314
_cell_length_c 13.2104
_cell_angle_alpha 90.00
_cell_angle_beta 90.00
_cell_angle_gamma 120.00
_symmetry_space_group_name_H-M 'R -3 m'
_symmetry_Int_Tables_number 166
_symmetry_space_group_name_Hall '-R 3 2"'
loop_
_atom_site_label
_atom_site_fract_x
_atom_site_fract_y
_atom_site_fract_z
K1 0.0000 0.0000 0.1284
Ag1 0.0000 0.0000 0.3857
```

# 2
## K4Ag (GGA-PBE)

Data for a geometry-optimized K4Ag structure.

Properties
Energy relative to the elements ... 44 meV per atom
Distance to the lowest polymorph of the same formula ... 13 meV/atom
N(E_F) ... 8.10 states/eV/cell

Geometry as CIF:
```
data_K4Ag
_cell_length_a 11.1968
_cell_length_b 11.1968
_cell_length_c 4.3844
_cell_angle_alpha 90.00
_cell_angle_beta 90.00
_cell_angle_gamma 90.00
_symmetry_space_group_name_H-M 'I 4/m'
_symmetry_Int_Tables_number 87
_symmetry_space_group_name_Hall '-I 4'
loop_
_atom_site_label
_atom_site_fract_x
_atom_site_fract_y
_atom_site_fract_z
K1 0.0595 0.7495 0.0000
Ag1 0.0000 0.0000 0.5000
```

> Look up the distance to the lowest polymorph of the same formula of the second one.

13 meV/atom